# Pt2WBr

Crystalline Pt2WBr at its relaxed geometry (GGA-PBE, Alexandria via LeMat-Bulk).

For the final energy, the calculation gives -6.376 eV per atom. The calculation puts the uncorrected formation energy at 0.3012 eV/atom.

The space group is R3m (No. 160, hexagonal axes) and the conventional cell measures 2.9341, 2.9341 and 28.1485 Å, with angles of 90.00, 90.00 and 120.00 degrees. Symmetry generates all atoms from Pt at (0.0000, 0.0000, 0.0000), Pt at (0.0000, 0.0000, 0.2515), W at (0.0000, 0.0000, 0.7422) and Br at (0.0000, 0.0000, 0.4804).

# Pt2WBr

Crystalline Pt2WBr at its relaxed geometry (GGA-PBE, Alexandria via LeMat-Bulk).

For the final energy, the calculation gives -6.467 eV per atom. The calculation puts the uncorrected formation energy at 0.2104 eV/atom.

The space group is Pm (No. 6) and the conventional cell measures 3.051, 3.513 and 7.383 Å, with angles of 90.00, 90.33 and 90.00 degrees. Symmetry generates all atoms from Pt at (0.000, 0.000, 0.000), Pt at (0.497, 0.500, 0.802), W at (0.995, 0.000, 0.631) and Br at (0.990, 0.500, 0.367).

# Pt3WBr

Crystalline Pt3WBr at its relaxed geometry (GGA-PBE, Alexandria via LeMat-Bulk).

For the final energy, the calculation gives -5.306 eV per atom. The calculation puts the uncorrected formation energy at 1.2435 eV/atom.

The space group is Pm-3m (No. 221) and the conventional cell measures 4.902, 4.902 and 4.902 Å, with angles of 90.00, 90.00 and 90.00 degrees. Symmetry generates all atoms from Pt at (0.000, 0.000, 0.500), W at (0.000, 0.000, 0.000) and Br at (0.500, 0.500, 0.500).

# PtWBr

Crystalline PtWBr at its relaxed geometry (GGA-PBE, Alexandria via LeMat-Bulk).

For the final energy, the calculation gives -6.515 eV per atom. The calculation puts the uncorrected formation energy at 0.3741 eV/atom.

The space group is P3m1 (No. 156) and the conventional cell measures 3.0301, 3.0301 and 6.8008 Å, with angles of 90.00, 90.00 and 120.00 degrees. Symmetry generates all atoms from Pt at (0.0000, 0.0000, 0.0000), W at (0.6667, 0.3333, 0.3009) and Br at (0.3333, 0.6667, 0.5960).

# Pt2WBr

Crystalline Pt2WBr at its relaxed geometry (GGA-PBE, Alexandria via LeMat-Bulk).

For the final energy, the calculation gives -5.690 eV per atom. The calculation puts the uncorrected formation energy at 0.9871 eV/atom.

The space group is P4/mmm (No. 123) and the conventional cell measures 3.900, 3.900 and 4.440 Å, with angles of 90.00, 90.00 and 90.00 degrees. Symmetry generates all atoms from Pt at (0.000, 0.500, 0.000), W at (0.000, 0.000, 0.500) and Br at (0.500, 0.500, 0.500).

# PtWBr2

Crystalline PtWBr2 at its relaxed geometry (GGA-PBE, Alexandria via LeMat-Bulk).

For the final energy, the calculation gives -4.470 eV per atom. The calculation puts the uncorrected formation energy at 1.1147 eV/atom.

The space group is I4/mmm (No. 139) and the conventional cell measures 4.275, 4.275 and 7.849 Å, with angles of 90.00, 90.00 and 90.00 degrees. Symmetry generates all atoms from Pt at (0.000, 0.000, 0.000), W at (0.000, 0.000, 0.500) and Br at (0.000, 0.500, 0.250).

# PtWBr2

Crystalline PtWBr2 at its relaxed geometry (GGA-PBE, Alexandria via LeMat-Bulk).

For the final energy, the calculation gives -5.448 eV per atom. The calculation puts the uncorrected formation energy at 0.1373 eV/atom.

The space group is Cm (No. 8) and the conventional cell measures 7.216, 3.336 and 8.655 Å, with angles of 90.00, 106.08 and 90.00 degrees. Symmetry generates all atoms from Pt at (0.000, 0.000, 0.000), W at (0.263, 0.500, 0.155), Br at (0.193, 0.000, 0.783) and Br at (0.366, 0.000, 0.382).

# Pt2WBr

Crystalline Pt2WBr at its relaxed geometry (GGA-PBE, Alexandria via LeMat-Bulk).

For the final energy, the calculation gives -6.454 eV per atom. The calculation puts the uncorrected formation energy at 0.2229 eV/atom.

The space group is Imm2 (No. 44) and the conventional cell measures 2.800, 3.278 and 17.267 Å, with angles of 90.00, 90.00 and 90.00 degrees. Symmetry generates all atoms from Pt at (0.000, 0.000, 0.000), Pt at (0.000, 0.500, 0.295), W at (0.000, 0.500, 0.889) and Br at (0.000, 0.000, 0.654).

# PtWBr

Crystalline PtWBr at its relaxed geometry (GGA-PBE, Alexandria via LeMat-Bulk).

For the final energy, the calculation gives -6.518 eV per atom. The calculation puts the uncorrected formation energy at 0.3711 eV/atom.

The space group is I4mm (No. 107) and the conventional cell measures 3.012, 3.012 and 13.229 Å, with angles of 90.00, 90.00 and 90.00 degrees. Symmetry generates all atoms from Pt at (0.000, 0.000, 0.000), W at (0.000, 0.000, 0.622) and Br at (0.000, 0.000, 0.256).

# Pt2WBr

Crystalline Pt2WBr at its relaxed geometry (GGA-PBE, Alexandria via LeMat-Bulk).

For the final energy, the calculation gives -5.868 eV per atom. The calculation puts the uncorrected formation energy at 0.8090 eV/atom.

The space group is P4/mmm (No. 123) and the conventional cell measures 5.047, 5.047 and 2.742 Å, with angles of 90.00, 90.00 and 90.00 degrees. Symmetry generates all atoms from Pt at (0.000, 0.500, 0.000), W at (0.000, 0.000, 0.500) and Br at (0.500, 0.500, 0.500).

# PtWBr2

Crystalline PtWBr2 at its relaxed geometry (GGA-PBE, Alexandria via LeMat-Bulk).

For the final energy, the calculation gives -5.372 eV per atom. The calculation puts the uncorrected formation energy at 0.2127 eV/atom.

The space group is P4mm (No. 99) and the conventional cell measures 3.116, 3.116 and 8.813 Å, with angles of 90.00, 90.00 and 90.00 degrees. Symmetry generates all atoms from Pt at (0.000, 0.000, 0.000), W at (0.500, 0.500, 0.178), Br at (0.000, 0.000, 0.376) and Br at (0.500, 0.500, 0.780).

# Pt2WBr

Crystalline Pt2WBr at its relaxed geometry (GGA-PBE, Alexandria via LeMat-Bulk).

For the final energy, the calculation gives -6.040 eV per atom. The calculation puts the uncorrected formation energy at 0.6373 eV/atom.

The space group is Imm2 (No. 44) and the conventional cell measures 4.542, 4.548 and 6.432 Å, with angles of 90.00, 90.00 and 90.00 degrees. Symmetry generates all atoms from Pt at (0.000, 0.000, 0.000), Pt at (0.000, 0.500, 0.250), W at (0.000, 0.500, 0.748) and Br at (0.000, 0.000, 0.501).

# PtWBr2

Crystalline PtWBr2 at its relaxed geometry (GGA-PBE, Alexandria via LeMat-Bulk).

For the final energy, the calculation gives -4.606 eV per atom. The calculation puts the uncorrected formation energy at 0.9787 eV/atom.

The space group is P4/mmm (No. 123) and the conventional cell measures 3.045, 3.045 and 8.239 Å, with angles of 90.00, 90.00 and 90.00 degrees. Symmetry generates all atoms from Pt at (0.000, 0.000, 0.000), W at (0.000, 0.000, 0.500) and Br at (0.500, 0.500, 0.298).

# PtWBr2

Crystalline PtWBr2 at its relaxed geometry (GGA-PBE, Alexandria via LeMat-Bulk).

For the final energy, the calculation gives -5.312 eV per atom. The calculation puts the uncorrected formation energy at 0.2728 eV/atom.

The space group is Immm (No. 71) and the conventional cell measures 3.013, 4.610 and 14.610 Å, with angles of 90.00, 90.00 and 90.00 degrees. Symmetry generates all atoms from Pt at (0.000, 0.000, 0.000), W at (0.000, 0.000, 0.500) and Br at (0.000, 0.500, 0.147).

# PtWBr2

Crystalline PtWBr2 at its relaxed geometry (GGA-PBE, Alexandria via LeMat-Bulk).

For the final energy, the calculation gives -4.389 eV per atom. The calculation puts the uncorrected formation energy at 1.1956 eV/atom.

The space group is Fm-3m (No. 225) and the conventional cell measures 6.590, 6.590 and 6.590 Å, with angles of 90.00, 90.00 and 90.00 degrees. Symmetry generates all atoms from Pt at (0.000, 0.000, 0.000), W at (0.000, 0.000, 0.500) and Br at (0.250, 0.250, 0.250).

# Pt2WBr

Crystalline Pt2WBr at its relaxed geometry (GGA-PBE, Alexandria via LeMat-Bulk).

For the final energy, the calculation gives -6.050 eV per atom. The calculation puts the uncorrected formation energy at 0.6269 eV/atom.

The space group is I-42d (No. 122) and the conventional cell measures 6.552, 6.552 and 8.883 Å, with angles of 90.00, 90.00 and 90.00 degrees. Symmetry generates all atoms from Pt at (0.216, 0.250, 0.125), W at (0.000, 0.000, 0.000) and Br at (0.000, 0.000, 0.500).

# PtWBr2

Crystalline PtWBr2 at its relaxed geometry (GGA-PBE, Alexandria via LeMat-Bulk).

For the final energy, the calculation gives -4.930 eV per atom. The calculation puts the uncorrected formation energy at 0.6553 eV/atom.

The space group is R-3m (No. 166, hexagonal axes) and the conventional cell measures 3.1104, 3.1104 and 28.1348 Å, with angles of 90.00, 90.00 and 120.00 degrees. Symmetry generates all atoms from Pt at (0.0000, 0.0000, 0.0000), W at (0.0000, 0.0000, 0.5000) and Br at (0.0000, 0.0000, 0.0976).

# Pt2WBr

Crystalline Pt2WBr at its relaxed geometry (GGA-PBE, Alexandria via LeMat-Bulk).

For the final energy, the calculation gives -6.055 eV per atom. The calculation puts the uncorrected formation energy at 0.6216 eV/atom.

The space group is C2/m (No. 12) and the conventional cell measures 9.797, 2.976 and 4.722 Å, with angles of 90.00, 96.25 and 90.00 degrees. Symmetry generates all atoms from Pt at (0.223, 0.000, 0.230), W at (0.000, 0.500, 0.000) and Br at (0.000, 0.000, 0.500).

# Pt4WBr

Crystalline Pt4WBr at its relaxed geometry (GGA-PBE, Alexandria via LeMat-Bulk).

For the final energy, the calculation gives -5.802 eV per atom. The calculation puts the uncorrected formation energy at 0.6634 eV/atom.

The space group is F-43m (No. 216) and the conventional cell measures 7.486, 7.486 and 7.486 Å, with angles of 90.00, 90.00 and 90.00 degrees. Symmetry generates all atoms from Pt at (0.125, 0.125, 0.125), W at (0.250, 0.250, 0.750) and Br at (0.000, 0.000, 0.500).

# Pt2WBr

Crystalline Pt2WBr at its relaxed geometry (GGA-PBE, Alexandria via LeMat-Bulk).

For the final energy, the calculation gives -5.824 eV per atom. The calculation puts the uncorrected formation energy at 0.8531 eV/atom.

The space group is Fm-3m (No. 225) and the conventional cell measures 6.520, 6.520 and 6.520 Å, with angles of 90.00, 90.00 and 90.00 degrees. Symmetry generates all atoms from Pt at (0.250, 0.250, 0.250), W at (0.000, 0.000, 0.000) and Br at (0.000, 0.000, 0.500).